{
  "formula": "DyY2Rh3",
  "functional": "PBE",
  "state": "optimized geometry",
  "magnetic_moment_mub_per_atom": 0.00,
  "e_above_lowest_polymorph_ev_per_fu": 0.00,
  "final_energy_ev_per_atom": -7.4529,
  "lattice_angstrom": [[4.8588, 0.0000, 0.0000], [-2.4294, 4.2078, 0.0000], [0.0000, 0.0000, 11.8671]],
  "species": ["Rh", "Dy", "Rh", "Rh", "Rh", "Y", "Y", "Y", "Rh", "Y", "Dy", "Rh"],
  "fractional_positions": [[0.0000, 0.0000, 0.7491], [0.3333, 0.6667, 0.6666], [0.3333, 0.6667, 0.9158], [0.6667, 0.3333, 0.5831], [0.3333, 0.6667, 0.4169], [0.3333, 0.6667, 0.1668], [0.0000, 0.0000, 0.0000], [0.0000, 0.0000, 0.5000], [0.0000, 0.0000, 0.2509], [0.6667, 0.3333, 0.8332], [0.6667, 0.3333, 0.3334], [0.6667, 0.3333, 0.0842]]
}

{
  "formula": "Dy2Y2Rh3",
  "functional": "PBE",
  "state": "optimized geometry",
  "magnetic_moment_mub_per_atom": 0.00,
  "e_above_lowest_polymorph_ev_per_fu": 0.18,
  "final_energy_ev_per_atom": -7.0528,
  "lattice_angstrom": [[4.8401, -0.0023, -0.0086], [-2.4075, 7.1421, 1.5411], [-0.0081, 0.5635, 4.7607]],
  "species": ["Rh", "Rh", "Y", "Dy", "Y", "Rh", "Dy"],
  "fractional_positions": [[0.0000, 0.0000, 0.0000], [0.7482, 0.4970, 0.2514], [0.6270, 0.2521, 0.8718], [0.8726, 0.7471, 0.6284], [0.3730, 0.7479, 0.1282], [0.2518, 0.5030, 0.7486], [0.1274, 0.2529, 0.3716]]
}

{
  "formula": "Dy2Y3Rh2",
  "functional": "PBE",
  "state": "optimized geometry",
  "magnetic_moment_mub_per_atom": 0.00,
  "final_energy_ev_per_atom": -6.7521,
  "lattice_angstrom": [[3.7863, 0.0000, 0.0000], [-1.8931, 6.0337, -0.4337], [0.0000, -3.3367, 8.3061]],
  "species": ["Rh", "Y", "Rh", "Dy", "Dy", "Y", "Y"],
  "fractional_positions": [[0.1794, 0.3587, 0.2393], [0.5000, 0.0000, 0.0000], [0.8206, 0.6413, 0.7607], [0.1680, 0.3360, 0.8084], [0.8320, 0.6640, 0.1916], [0.6152, 0.2303, 0.4291], [0.3848, 0.7697, 0.5709]]
}

{
  "formula": "Dy2YRh2",
  "functional": "PBE",
  "state": "optimized geometry",
  "magnetic_moment_mub_per_atom": 0.00,
  "e_above_lowest_polymorph_ev_per_fu": 0.00,
  "final_energy_ev_per_atom": -6.7889,
  "lattice_angstrom": [[-3.1091, 2.0358, 2.2593], [0.3385, -3.8795, 3.9616], [7.2612, 4.4441, 5.9880]],
  "species": ["Rh", "Rh", "Y", "Y", "Rh", "Dy", "Rh", "Dy", "Dy", "Dy"],
  "fractional_positions": [[0.7500, 0.3083, 0.3615], [0.7500, 0.6565, 0.0358], [0.7500, 0.4459, 0.7880], [0.2500, 0.5541, 0.2120], [0.2500, 0.3435, 0.9642], [0.7500, 0.1141, 0.1147], [0.2500, 0.6917, 0.6385], [0.7500, 0.7675, 0.4650], [0.2500, 0.2325, 0.5350], [0.2500, 0.8859, 0.8853]]
}

{
  "formula": "DyY2Rh",
  "functional": "PBE",
  "state": "optimized geometry",
  "magnetic_moment_mub_per_atom": 0.00,
  "e_above_lowest_polymorph_ev_per_fu": 0.54,
  "final_energy_ev_per_atom": -6.6020,
  "lattice_angstrom": [[-1.4207, -0.9433, 3.0685], [-2.9916, -0.8281, -1.6397], [2.8582, -8.0473, -1.1506]],
  "species": ["Dy", "Y", "Y", "Rh"],
  "fractional_positions": [[0.5000, 0.5000, 0.5000], [0.0000, 0.0000, 0.8102], [0.0000, 0.0000, 0.1898], [0.5000, 0.5000, 0.0000]]
}

{
  "formula": "Dy5YRh6",
  "functional": "PBE",
  "state": "optimized geometry",
  "magnetic_moment_mub_per_atom": 0.00,
  "final_energy_ev_per_atom": -7.0024,
  "lattice_angstrom": [[4.5905, -0.0275, 1.5298], [0.0368, 6.8712, 0.0123], [-0.0016, -0.0137, 7.6571]],
  "species": ["Dy", "Rh", "Rh", "Rh", "Y", "Dy", "Dy", "Rh", "Rh", "Rh", "Dy", "Dy"],
  "fractional_positions": [[0.6665, 0.5000, 0.6670], [0.1673, 0.7494, 0.6655], [0.5000, 0.2513, 0.0000], [0.8327, 0.2506, 0.3345], [0.0000, 0.0000, 0.0000], [0.3334, 0.0000, 0.3332], [0.0000, 0.5000, 0.0000], [0.8327, 0.7494, 0.3345], [0.1673, 0.2506, 0.6655], [0.5000, 0.7487, 0.0000], [0.3335, 0.5000, 0.3330], [0.6666, 0.0000, 0.6668]]
}

{
  "formula": "DyY2Rh3",
  "functional": "PBE",
  "state": "optimized geometry",
  "magnetic_moment_mub_per_atom": 0.00,
  "e_above_lowest_polymorph_ev_per_fu": 0.02,
  "final_energy_ev_per_atom": -7.4495,
  "lattice_angstrom": [[-2.0700, -2.7418, -0.0172], [2.7194, -2.0503, -0.4513], [1.0484, -0.8555, 10.2033]],
  "species": ["Rh", "Dy", "Rh", "Y", "Y", "Rh"],
  "fractional_positions": [[0.0000, 0.0000, 0.6647], [0.5000, 0.5000, 0.5000], [0.0000, 0.0000, 0.0000], [0.5000, 0.5000, 0.1670], [0.5000, 0.5000, 0.8330], [0.0000, 0.0000, 0.3353]]
}

{
  "formula": "Dy2YRh",
  "functional": "PBE",
  "state": "optimized geometry",
  "magnetic_moment_mub_per_atom": 0.13,
  "e_above_lowest_polymorph_ev_per_fu": 0.72,
  "final_energy_ev_per_atom": -6.0997,
  "lattice_angstrom": [[-2.2896, -1.7508, 2.5197], [-2.5266, -2.6125, -1.2029], [4.6316, -8.0014, 1.5573]],
  "species": ["Y", "Rh", "Dy", "Dy"],
  "fractional_positions": [[0.5012, 0.5012, 0.4965], [0.6661, 0.6661, 0.0018], [0.0594, 0.0594, 0.8217], [0.2733, 0.2733, 0.1801]]
}

{
  "formula": "Dy3Y2Rh2",
  "functional": "PBE",
  "state": "optimized geometry",
  "magnetic_moment_mub_per_atom": 0.00,
  "final_energy_ev_per_atom": -6.4999,
  "lattice_angstrom": [[-1.5048, 2.2265, -2.7114], [-1.8272, -5.9218, -1.1612], [-4.7827, 4.2766, 6.1661]],
  "species": ["Y", "Rh", "Rh", "Dy", "Dy", "Y", "Dy"],
  "fractional_positions": [[0.8345, 0.6691, 0.1925], [0.1758, 0.3516, 0.2403], [0.8242, 0.6484, 0.7597], [0.5000, 0.0000, 0.0000], [0.3836, 0.7673, 0.5692], [0.1655, 0.3309, 0.8075], [0.6163, 0.2327, 0.4308]]
}

{
  "formula": "DyY2Rh",
  "functional": "PBE",
  "state": "optimized geometry",
  "magnetic_moment_mub_per_atom": 0.00,
  "e_above_lowest_polymorph_ev_per_fu": 0.13,
  "final_energy_ev_per_atom": -6.7056,
  "lattice_angstrom": [[-0.2076, 1.3402, -3.5472], [-3.0439, -5.5150, 0.1295], [-8.0453, 4.4914, 2.1677]],
  "species": ["Y", "Y", "Y", "Rh", "Dy", "Y", "Dy", "Rh"],
  "fractional_positions": [[0.8619, 0.7238, 0.9323], [0.1381, 0.2762, 0.4323], [0.1381, 0.2762, 0.0677], [0.7468, 0.4944, 0.2500], [0.5780, 0.1557, 0.7500], [0.8619, 0.7238, 0.5677], [0.4220, 0.8443, 0.2500], [0.2532, 0.5056, 0.7500]]
}

{
  "formula": "Dy2YRh2",
  "functional": "PBE",
  "state": "optimized geometry",
  "magnetic_moment_mub_per_atom": 0.00,
  "e_above_lowest_polymorph_ev_per_fu": 0.49,
  "final_energy_ev_per_atom": -6.6904,
  "lattice_angstrom": [[3.7430, 0.0000, -0.5738], [0.0000, 4.6522, 0.0000], [0.1213, 0.0000, 13.2850]],
  "species": ["Rh", "Y", "Rh", "Dy", "Dy", "Dy", "Rh", "Rh", "Dy", "Y"],
  "fractional_positions": [[0.1607, 0.2500, 0.3213], [0.6369, 0.7500, 0.2739], [0.5324, 0.7500, 0.0649], [0.7348, 0.2500, 0.4697], [0.9480, 0.7500, 0.8961], [0.2652, 0.7500, 0.5303], [0.4675, 0.2500, 0.9351], [0.8393, 0.7500, 0.6787], [0.0520, 0.2500, 0.1039], [0.3631, 0.2500, 0.7261]]
}

{
  "formula": "DyYZnRh",
  "functional": "PBE",
  "state": "optimized geometry",
  "magnetic_moment_mub_per_atom": 0.00,
  "final_energy_ev_per_atom": -5.5270,
  "lattice_angstrom": [[-3.0280, -3.3215, 2.0553], [1.4118, -2.4593, 4.0478], [-2.1393, 0.9648, 4.3495]],
  "species": ["Y", "Zn", "Dy", "Rh"],
  "fractional_positions": [[0.7500, 0.7500, 0.7500], [0.0000, 0.0000, 0.0000], [0.2500, 0.2500, 0.2500], [0.5000, 0.5000, 0.5000]]
}

{
  "formula": "YbDyRh2",
  "functional": "PBE",
  "state": "optimized geometry",
  "magnetic_moment_mub_per_atom": 0.08,
  "final_energy_ev_per_atom": -5.9467,
  "lattice_angstrom": [[-1.4844, -0.6435, -4.5409], [-4.6517, -0.8736, -0.9142], [-2.7062, 3.3601, -2.1502]],
  "species": ["Rh", "Dy", "Rh", "Yb"],
  "fractional_positions": [[0.7500, 0.7500, 0.7500], [0.5000, 0.5000, 0.5000], [0.2500, 0.2500, 0.2500], [0.0000, 0.0000, 0.0000]]
}

{
  "formula": "Dy4ZnRh2",
  "functional": "PBE",
  "state": "optimized geometry",
  "magnetic_moment_mub_per_atom": 0.00,
  "e_above_lowest_polymorph_ev_per_fu": 0.00,
  "final_energy_ev_per_atom": -5.4979,
  "lattice_angstrom": [[1.1599, 5.3438, 6.1523], [-6.0486, 1.3990, -5.4053], [-1.0663, -6.3582, 2.8355]],
  "species": ["Dy", "Dy", "Dy", "Rh", "Zn", "Rh", "Dy", "Rh", "Dy", "Zn", "Dy", "Rh", "Dy", "Dy"],
  "fractional_positions": [[0.3948, 0.0068, 0.2416], [0.9774, 0.2839, 0.4093], [0.3570, 0.5410, 0.2560], [0.1054, 0.5448, 0.8731], [0.2821, 0.7923, 0.5858], [0.6047, 0.1619, 0.0295], [0.5338, 0.7276, 0.9093], [0.7949, 0.8554, 0.3730], [0.7911, 0.1069, 0.7560], [0.0426, 0.0323, 0.0863], [0.8684, 0.5785, 0.1044], [0.4123, 0.3551, 0.5298], [0.8289, 0.6189, 0.6048], [0.2567, 0.1447, 0.7411]]
}

{
  "formula": "Dy3Zn2Rh6",
  "functional": "PBE",
  "state": "optimized geometry",
  "magnetic_moment_mub_per_atom": 0.00,
  "final_energy_ev_per_atom": -6.0679,
  "lattice_angstrom": [[7.6181, 0.0000, -2.6934], [-3.8090, 6.5975, -2.6934], [0.0000, 0.0000, 8.0802]],
  "species": ["Dy", "Rh", "Rh", "Dy", "Dy", "Dy", "Zn", "Rh", "Rh", "Zn", "Zn", "Rh", "Rh", "Rh", "Rh", "Dy", "Rh", "Rh", "Rh", "Zn", "Rh", "Dy"],
  "fractional_positions": [[0.2921, 0.0000, 0.2921], [0.0000, 0.6560, 0.3440], [0.6880, 0.3440, 0.3440], [0.0000, 0.7079, 0.7079], [0.7079, 0.7079, 0.0000], [0.7079, 0.0000, 0.7079], [0.0000, 0.5000, 0.0000], [0.0000, 0.3440, 0.6560], [0.3440, 0.6560, 0.0000], [0.0000, 0.0000, 0.5000], [0.5000, 0.0000, 0.0000], [0.6560, 0.0000, 0.3440], [0.6560, 0.3440, 0.0000], [0.6560, 0.6560, 0.3120], [0.3440, 0.0000, 0.6560], [0.2921, 0.2921, 0.0000], [0.3120, 0.6560, 0.6560], [0.6560, 0.3120, 0.6560], [0.3440, 0.6880, 0.3440], [0.5000, 0.5000, 0.5000], [0.3440, 0.3440, 0.6880], [0.0000, 0.2921, 0.2921]]
}

{
  "formula": "Dy5Zn4Rh",
  "functional": "PBE",
  "state": "optimized geometry",
  "magnetic_moment_mub_per_atom": 0.00,
  "final_energy_ev_per_atom": -4.0020,
  "lattice_angstrom": [[-2.0515, -2.8734, -0.3532], [1.7800, -1.5933, 2.6235], [-11.3418, 6.6546, 11.7363]],
  "species": ["Dy", "Zn", "Zn", "Dy", "Dy", "Rh", "Dy", "Dy", "Zn", "Zn"],
  "fractional_positions": [[0.5000, 0.5000, 0.7027], [0.0000, 0.0000, 0.3979], [0.0000, 0.0000, 0.8023], [0.5000, 0.5000, 0.0918], [0.5000, 0.5000, 0.2973], [0.0000, 0.0000, 0.0000], [0.5000, 0.5000, 0.5000], [0.5000, 0.5000, 0.9082], [0.0000, 0.0000, 0.1977], [0.0000, 0.0000, 0.6021]]
}

{
  "formula": "DyZn4Rh2",
  "functional": "PBE",
  "state": "optimized geometry",
  "magnetic_moment_mub_per_atom": 0.00,
  "final_energy_ev_per_atom": -3.9573,
  "lattice_angstrom": [[4.1062, 0.0000, 0.0000], [0.0000, 7.5606, 0.0000], [0.0000, 0.0000, 7.5606]],
  "species": ["Zn", "Zn", "Rh", "Rh", "Zn", "Zn", "Zn", "Dy", "Zn", "Dy", "Zn", "Zn", "Rh", "Rh"],
  "fractional_positions": [[0.0000, 0.6483, 0.9042], [0.5000, 0.1483, 0.5958], [0.0000, 0.7864, 0.2136], [0.5000, 0.7136, 0.7136], [0.5000, 0.8517, 0.4042], [0.0000, 0.9042, 0.6483], [0.5000, 0.5958, 0.1483], [0.5000, 0.0000, 0.0000], [0.0000, 0.0958, 0.3517], [0.0000, 0.5000, 0.5000], [0.0000, 0.3517, 0.0958], [0.5000, 0.4042, 0.8517], [0.0000, 0.2136, 0.7864], [0.5000, 0.2864, 0.2864]]
}

{
  "formula": "Dy3Zn2Rh",
  "functional": "PBE",
  "state": "optimized geometry",
  "magnetic_moment_mub_per_atom": 0.00,
  "e_above_lowest_polymorph_ev_per_fu": 0.00,
  "final_energy_ev_per_atom": -4.4854,
  "lattice_angstrom": [[-3.5238, 2.7131, 2.1903], [1.2901, -4.3912, 1.9048], [4.2445, 2.7379, 3.4371]],
  "species": ["Dy", "Dy", "Dy", "Zn", "Rh", "Zn"],
  "fractional_positions": [[0.3333, 0.6667, 0.1548], [0.6667, 0.3333, 0.8452], [0.0000, 0.0000, 0.5000], [0.6667, 0.3333, 0.3504], [0.0000, 0.0000, 0.0000], [0.3333, 0.6667, 0.6496]]
}

{
  "formula": "DyZn5Rh2",
  "functional": "PBE",
  "state": "optimized geometry",
  "magnetic_moment_mub_per_atom": 0.00,
  "final_energy_ev_per_atom": -3.5788,
  "lattice_angstrom": [[-0.4130, 0.8467, 3.6709], [-6.2077, 1.0476, 1.0163], [-2.1602, -5.2403, 2.9220]],
  "species": ["Zn", "Zn", "Rh", "Zn", "Zn", "Rh", "Zn", "Dy"],
  "fractional_positions": [[0.3491, 0.4638, 0.8381], [0.6510, 0.1619, 0.5362], [0.2670, 0.2330, 0.2330], [0.0000, 0.5000, 0.5000], [0.6510, 0.5362, 0.1619], [0.7330, 0.7670, 0.7670], [0.3491, 0.8381, 0.4638], [0.0000, 0.0000, 0.0000]]
}

{
  "formula": "DyZn2Rh3",
  "functional": "PBE",
  "state": "optimized geometry",
  "magnetic_moment_mub_per_atom": 0.00,
  "final_energy_ev_per_atom": -5.4294,
  "lattice_angstrom": [[4.4516, 0.0000, 0.0000], [-2.2258, 3.8552, 0.0000], [0.0000, 0.0000, 11.0203]],
  "species": ["Rh", "Rh", "Rh", "Dy", "Rh", "Rh", "Zn", "Zn", "Dy", "Zn", "Rh", "Zn"],
  "fractional_positions": [[0.0000, 0.0000, 0.2340], [0.3333, 0.6667, 0.4173], [0.0000, 0.0000, 0.7660], [0.3333, 0.6667, 0.6734], [0.3333, 0.6667, 0.9262], [0.6667, 0.3333, 0.0738], [0.6667, 0.3333, 0.8392], [0.0000, 0.0000, 0.0000], [0.6667, 0.3333, 0.3266], [0.3333, 0.6667, 0.1608], [0.6667, 0.3333, 0.5827], [0.0000, 0.0000, 0.5000]]
}

{
  "formula": "Dy3ZnRh8",
  "functional": "PBE",
  "state": "optimized geometry",
  "magnetic_moment_mub_per_atom": 0.00,
  "final_energy_ev_per_atom": -6.7384,
  "lattice_angstrom": [[-0.6339, -1.9470, 4.8655], [0.6702, -5.1606, 0.8858], [8.3918, -0.9995, 3.5569]],
  "species": ["Rh", "Dy", "Rh", "Rh", "Zn", "Dy", "Dy", "Rh", "Rh", "Rh", "Rh", "Rh"],
  "fractional_positions": [[0.0622, 0.5629, 0.8121], [0.4947, 0.4947, 0.5160], [0.0614, 0.0614, 0.3168], [0.3117, 0.3117, 0.0649], [0.1303, 0.1303, 0.6092], [0.0069, 0.0069, 0.9793], [0.6239, 0.6239, 0.1284], [0.5629, 0.5629, 0.8121], [0.8115, 0.8115, 0.5656], [0.0614, 0.5605, 0.3168], [0.5605, 0.0614, 0.3168], [0.5629, 0.0622, 0.8121]]
}

{
  "formula": "Dy2Zn5Rh4",
  "functional": "PBE",
  "state": "optimized geometry",
  "magnetic_moment_mub_per_atom": 0.00,
  "final_energy_ev_per_atom": -4.5575,
  "lattice_angstrom": [[-0.4229, 5.0940, -1.3182], [-4.7122, 2.2244, -0.4618], [-0.0119, 4.6183, 7.2816]],
  "species": ["Zn", "Rh", "Dy", "Dy", "Rh", "Zn", "Zn", "Zn", "Rh", "Rh", "Zn"],
  "fractional_positions": [[0.5000, 0.0000, 0.0000], [0.7876, 0.6794, 0.7454], [0.8562, 0.0000, 0.2876], [0.1438, 0.0000, 0.7124], [0.4670, 0.3206, 0.7454], [0.5000, 0.5000, 0.0000], [0.7500, 0.5000, 0.5000], [0.0000, 0.5000, 0.0000], [0.5330, 0.6794, 0.2546], [0.2124, 0.3206, 0.2546], [0.2500, 0.5000, 0.5000]]
}

{
  "formula": "DyZnRh",
  "functional": "PBE",
  "state": "optimized geometry",
  "magnetic_moment_mub_per_atom": 0.00,
  "final_energy_ev_per_atom": -4.9326,
  "lattice_angstrom": [[-0.5698, -4.4385, 0.5399], [3.1632, -2.8699, -1.4401], [2.5255, -2.2505, 2.9787]],
  "species": ["Zn", "Dy", "Rh"],
  "fractional_positions": [[0.5000, 0.5000, 0.5000], [0.0000, 0.0000, 0.0000], [0.2500, 0.2500, 0.2500]]
}

| no. | ΔH_f (0 K) (meV per atom) | mass density (Mg/m³) |
| --- | --- | --- |
| 1 | -855 | 8.88 |
| 2 | -740 | 8.40 |
| 3 | -566 | 7.19 |
| 4 | -715 | 8.28 |
| 5 | -382 | 6.93 |
| 6 | -870 | 10.44 |
| 7 | -852 | 8.87 |
| 8 | -345 | 7.42 |
| 9 | -580 | 7.91 |
| 10 | -485 | 6.82 |
| 11 | -616 | 8.88 |
| 12 | -604 | 8.17 |
| 13 | -739 | 11.35 |
| 14 | -586 | 9.19 |
| 15 | -571 | 10.11 |
| 16 | -456 | 8.81 |
| 17 | -471 | 8.91 |
| 18 | -534 | 9.21 |
| 19 | -369 | 8.38 |
| 20 | -562 | 10.57 |
| 21 | -581 | 10.95 |
| 22 | -468 | 9.02 |
| 23 | -523 | 8.48 |